(1)
Ac2ErGa2: relaxed, PBE.

Cell and atoms, written as POSCAR:
```
Ac2ErGa2
1.0
-3.9871 2.5523 -0.1406
-5.0635 -3.4358 1.7905
-2.2874 1.1244 5.8443
Ac Ga Er
2 2 1
direct
0.3006 0.1997 0.6996
0.6994 0.8003 0.3004
0.0000 0.7868 0.7132
0.0000 0.2132 0.2868
0.5000 0.5000 0.0000
```

Results
* crystal system: monoclinic

=====

(2)
AcErGa2: relaxed, PBE.

Cell and atoms, written as POSCAR:
```
AcErGa2
1.0
-3.7730 -0.1016 0.6370
-2.4102 -0.7087 -2.8881
-1.5304 -9.1294 0.9807
Ga Er Ac
2 1 1
direct
0.7427 0.7427 0.7720
0.2573 0.2573 0.2280
0.0000 0.0000 0.0000
0.5000 0.5000 0.5000
```

Results
* crystal system: trigonal

=====

Number 1: E_form -38.9 kJ/mol of atoms. Number 2: E_form -28.4 kJ/mol of atoms.